# 1
Below is SrTaAlFe2 after structural relaxation, with properties calculated at the PBEsol level.

Cell: 4.485 4.485 5.028 Å, 90.00 90.00 90.00°
Space group P4/mmm (No. 123)
One atom of each set of equivalent atoms:
Sr1 0.000 0.000 0.000 x1
Ta1 0.000 0.000 0.500 x1
Al1 0.500 0.500 0.500 x1
Fe1 0.000 0.500 0.000 x2

Summary:
Calculated volume = 101 Å³ per cell
Energy of formation = 2.452 eV/atom

=====

# 2
Below is CuSi2Rh after structural relaxation, with properties calculated at the PBEsol level.

Cell: 2.867 3.946 4.605 Å, 90.00 90.00 90.00°
Space group Pmmm (No. 47)
One atom of each set of equivalent atoms:
Cu1 0.000 0.000 0.000 x1
Si1 0.000 0.500 0.500 x1
Si2 0.500 0.500 0.000 x1
Rh1 0.500 0.000 0.500 x1

Summary:
Calculated volume = 52 Å³ per cell
Uncorrected formation energy = -124 meV per atom

=====

# 3
Below is Tl2SiSb after structural relaxation, with properties calculated at the PBEsol level.

Cell: 3.177 3.902 8.540 Å, 90.00 100.77 90.00°
Space group Pm (No. 6)
One atom of each set of equivalent atoms:
Tl1 0.000 0.000 0.000 x1
Tl2 0.357 0.500 0.713 x1
Si1 0.750 0.000 0.497 x1
Sb1 0.640 0.500 0.279 x1

Summary:
Calculated volume = 104 Å³ per cell
Uncorrected formation energy = 207 meV per atom
Offset from the most stable computed form = 0.00 eV/f.u.

=====

# 4
Below is HfCoPS2 after structural relaxation, with properties calculated at the PBEsol level.

Cell: 4.341 4.341 4.236 Å, 90.00 90.00 90.00°
Space group P4/mmm (No. 123)
One atom of each set of equivalent atoms:
Hf1 0.000 0.000 0.000 x1
Co1 0.500 0.500 0.500 x1
P1 0.500 0.500 0.000 x1
S1 0.000 0.500 0.500 x2

Summary:
Calculated volume = 80 Å³ per cell
Uncorrected formation energy = -64 meV per atom
Offset from the most stable computed form = 0.00 eV/f.u.

=====

# 5
Below is SrBe2Se2 after structural relaxation, with properties calculated at the PBEsol level.

Cell: 7.564 7.564 3.422 Å, 90.00 90.00 90.00°
Space group P4/mbm (No. 127)
One atom of each set of equivalent atoms:
Sr1 0.000 0.000 0.000 x2
Be1 0.100 0.400 0.500 x4
Se1 0.141 0.641 0.000 x4

Summary:
Calculated volume = 196 Å³ per cell
Uncorrected formation energy = -102 meV per atom

=====

# 6
Below is Ba2P3Pd after structural relaxation, with properties calculated at the PBEsol level.

Cell: 6.418 7.161 12.758 Å, 90.00 91.24 90.00°
Space group P2_1/c (No. 14)
One atom of each set of equivalent atoms:
Ba1 0.121 0.245 0.164 x4
Ba2 0.335 0.750 0.060 x4
P1 0.182 0.107 0.906 x4
P2 0.183 0.091 0.406 x4
P3 0.403 0.574 0.807 x4
Pd1 0.384 0.599 0.307 x4

Summary:
Calculated volume = 586 Å³ per cell
Energy of formation = -0.934 eV/atom

=====

# 7
Below is KYSbBr2 after structural relaxation, with properties calculated at the PBEsol level.

Cell: 5.362 5.362 6.493 Å, 90.00 90.00 90.00°
Space group P4/mmm (No. 123)
One atom of each set of equivalent atoms:
K1 0.000 0.000 0.000 x1
Y1 0.000 0.000 0.500 x1
Sb1 0.500 0.500 0.500 x1
Br1 0.000 0.500 0.000 x2

Summary:
Calculated volume = 187 Å³ per cell
Uncorrected formation energy = 154 meV per atom

=====

# 8
Below is MgAu after structural relaxation, with properties calculated at the PBEsol level.

Cell: 3.256 3.256 3.256 Å, 90.00 90.00 90.00°
Space group Pm-3m (No. 221)
One atom of each set of equivalent atoms:
Mg1 0.000 0.000 0.000 x1
Au1 0.500 0.500 0.500 x1

Summary:
Calculated volume = 35 Å³ per cell
Energy of formation = -0.598 eV/atom

=====

# 9
Below is Be2Pt after structural relaxation, with properties calculated at the PBEsol level.

Cell: 4.510 3.756 7.279 Å, 90.00 90.00 90.00°
Space group Pnma (No. 62)
One atom of each set of equivalent atoms:
Be1 0.138 0.250 0.029 x4
Be2 0.187 0.250 0.694 x4
Pt1 0.142 0.250 0.369 x4

Summary:
Calculated volume = 123 Å³ per cell
Energy of formation = -0.613 eV/atom
Offset from the most stable computed form = 0.11 eV/f.u.

=====

# 10
Below is LiBeNiSe2 after structural relaxation, with properties calculated at the PBEsol level.

Cell: 4.538 4.538 3.988 Å, 90.00 90.00 90.00°
Space group P4/mmm (No. 123)
One atom of each set of equivalent atoms:
Li1 0.000 0.000 0.000 x1
Be1 0.500 0.500 0.500 x1
Ni1 0.500 0.500 0.000 x1
Se1 0.000 0.500 0.500 x2

Summary:
Calculated volume = 82 Å³ per cell
Uncorrected formation energy = 85 meV per atom

=====

# 11
Below is ZnOs after structural relaxation, with properties calculated at the PBEsol level.

Cell: 2.704 10.127 4.216 Å, 90.00 90.00 90.00°
Space group Cmcm (No. 63)
One atom of each set of equivalent atoms:
Zn1 0.000 0.180 0.250 x4
Os1 0.000 0.440 0.250 x4

Summary:
Calculated volume = 115 Å³ per cell
Energy of formation = 0.427 eV/atom

=====

# 12
Below is ZrTe3Ir after structural relaxation, with properties calculated at the PBEsol level.

Cell: 5.123 5.123 5.123 Å, 90.00 90.00 90.00°
Space group Pm-3m (No. 221)
One atom of each set of equivalent atoms:
Zr1 0.000 0.000 0.000 x1
Te1 0.000 0.500 0.500 x3
Ir1 0.500 0.500 0.500 x1

Summary:
Calculated volume = 134 Å³ per cell
Uncorrected formation energy = 472 meV per atom

=====

Number 1: uncorrected energy -4.830 eV per atom. Number 2: uncorrected energy -6.116 eV per atom. Number 3: uncorrected energy -3.684 eV per atom. Number 4: uncorrected energy -6.624 eV per atom. Number 5: uncorrected energy -3.610 eV per atom. Number 6: uncorrected energy -5.540 eV per atom. Number 7: uncorrected energy -3.096 eV per atom. Number 8: uncorrected energy -3.419 eV per atom. Number 9: uncorrected energy -5.601 eV per atom. Number 10: uncorrected energy -3.880 eV per atom. Number 11: uncorrected energy -6.472 eV per atom. Number 12: uncorrected energy -5.426 eV per atom.